Material: YTh2Al6
Method: DFT, PBE
State: optimized geometry

a b c (Å): 7.8962 7.8962 3.7386
angles (deg): 90.00 90.00 120.00
Space group P6/mmm (No. 191)
Asymmetric unit:
1 Y 0.0000 0.0000 0.0000 x1
2 Th 0.3333 0.6667 0.0000 x2
3 Al 0.0000 0.3313 0.5000 x6

Output
* energy relative to the elements: -0.447 eV per atom